[1]
A PBEsol-optimized structure of BaTiBe2C, computed with SCAN.

Structure (POSCAR):
```
BaTiBe2C
1.0
4.468 0.000 0.000
0.000 4.468 0.000
0.000 0.000 6.049
Ba Ti Be C
1 1 2 1
Cartesian
0.000 0.000 0.000
0.000 0.000 3.025
0.000 2.234 3.025
2.234 0.000 3.025
2.234 2.234 0.000
```

[2]
A PBEsol-optimized structure of BaCaBe, computed with SCAN.

Structure (POSCAR):
```
BaCaBe
1.0
5.190 0.000 0.000
-2.595 4.494 0.000
0.000 0.000 4.243
Ba Ca Be
1 1 1
Cartesian
0.000 0.000 0.000
2.595 1.498 2.122
0.000 2.996 2.122
```

Computed properties:
* energy above the most stable polymorph in this dataset: 40 meV/atom

[3]
A PBEsol-optimized structure of BaCaBe, computed with SCAN.

Structure (POSCAR):
```
BaCaBe
1.0
4.261 0.000 0.000
-2.131 3.690 0.000
0.000 0.000 7.192
Ba Ca Be
1 1 1
Cartesian
0.000 0.000 0.000
0.000 2.460 3.583
2.131 1.230 5.150
```

Computed properties:
* energy above the most stable polymorph in this dataset: 0 meV/atom

[4]
A PBEsol-optimized structure of BaCaBe, computed with SCAN.

Structure (POSCAR):
```
BaCaBe
1.0
0.000 3.692 3.692
3.692 0.000 3.692
3.692 3.692 0.000
Ba Ca Be
1 1 1
Cartesian
0.000 0.000 0.000
1.846 1.846 1.846
3.692 3.692 3.692
```

Computed properties:
* energy above the most stable polymorph in this dataset: 399 meV/atom

[5]
A PBEsol-optimized structure of BaCaBe2Ru, computed with SCAN.

Structure (POSCAR):
```
BaCaBe2Ru
1.0
4.801 0.000 0.000
0.000 4.801 0.000
0.000 0.000 5.709
Ba Ca Be Ru
1 1 2 1
Cartesian
0.000 0.000 0.000
0.000 0.000 2.854
0.000 2.400 2.854
2.400 0.000 2.854
2.400 2.400 0.000
```

[6]
A PBEsol-optimized structure of BaBeCd, computed with SCAN.

Structure (POSCAR):
```
BaBeCd
1.0
0.000 3.732 3.732
3.732 0.000 3.732
3.732 3.732 0.000
Ba Be Cd
1 1 1
Cartesian
0.000 0.000 0.000
5.598 5.598 5.598
1.866 1.866 1.866
```

[7]
A PBEsol-optimized structure of BaBeCd2, computed with SCAN.

Structure (POSCAR):
```
BaBeCd2
1.0
3.398 0.000 0.000
0.000 3.398 0.000
0.000 0.000 8.022
Ba Be Cd
1 1 2
Cartesian
0.000 0.000 0.000
1.699 1.699 2.443
0.000 0.000 3.454
1.699 1.699 5.376
```

[8]
A PBEsol-optimized structure of BaBeCd2, computed with SCAN.

Structure (POSCAR):
```
BaBeCd2
1.0
4.526 0.000 0.000
0.000 4.526 0.000
0.000 0.000 5.173
Ba Be Cd
1 1 2
Cartesian
0.000 0.000 0.000
2.263 2.263 0.000
0.000 2.263 2.586
2.263 0.000 2.586
```

[9]
A PBEsol-optimized structure of BaBe2CdSb, computed with SCAN.

Structure (POSCAR):
```
BaBe2CdSb
1.0
4.732 0.000 0.000
0.000 4.732 0.000
0.000 0.000 5.728
Ba Be Cd Sb
1 2 1 1
Cartesian
0.000 0.000 0.000
0.000 2.366 2.864
2.366 0.000 2.864
2.366 2.366 2.864
2.366 2.366 0.000
```

[10]
A PBEsol-optimized structure of BaBeCd2Te, computed with SCAN.

Structure (POSCAR):
```
BaBeCd2Te
1.0
6.802 0.000 0.000
0.000 6.802 0.000
0.000 0.000 6.281
Ba Be Cd Te
1 1 2 1
Cartesian
0.000 0.000 0.000
3.401 3.401 3.140
0.000 3.401 0.000
3.401 0.000 0.000
0.000 0.000 3.140
```

[11]
A PBEsol-optimized structure of BaBe2Cl, computed with SCAN.

Structure (POSCAR):
```
BaBe2Cl
1.0
-2.126 3.093 3.701
2.126 -3.093 3.701
2.126 3.093 -3.701
Ba Be Cl
1 2 1
Cartesian
0.000 0.000 0.000
2.126 0.000 2.924
0.000 0.000 2.933
0.000 3.093 1.378
```

Computed properties:
* energy above the most stable polymorph in this dataset: 171 meV/atom

[12]
A PBEsol-optimized structure of Ba3BeCl, computed with SCAN.

Structure (POSCAR):
```
Ba3BeCl
1.0
5.889 0.000 0.000
0.000 5.889 0.000
0.000 0.000 5.889
Ba Be Cl
3 1 1
Cartesian
0.000 0.000 2.945
0.000 2.945 0.000
2.945 0.000 0.000
2.945 2.945 2.945
0.000 0.000 0.000
```

| no. | final energy (eV/atom) |
| --- | --- |
| 1 | -12.655 |
| 2 | -17.326 |
| 3 | -17.366 |
| 4 | -16.967 |
| 5 | -16.450 |
| 6 | -23.970 |
| 7 | -26.008 |
| 8 | -25.789 |
| 9 | -22.827 |
| 10 | -27.625 |
| 11 | -14.183 |
| 12 | -26.469 |